# 1
The following is a PBE calculation of a relaxed structure of CePmTl6, from Alexandria.

Values from the calculation:
Its crystal system is tetragonal. For the energy of formation from the pure elements, the calculation gives -0.28 eV per atom. For the magnetization, the calculation gives 0.94 μB/cell.

Cell lengths 4.8227, 4.8227, 9.6454 Å; angles 90.00, 90.00, 90.00 degrees
Last column: nearest neighbours and their distance in Å.
Space group P4/mmm (No. 123)
Inequivalent atoms, fractional coordinates:
Ce: 0.0000 0.0000 0.0000 [1 per cell]  12 Tl 3.41
Pm: 0.0000 0.0000 0.5000 [1 per cell]  12 Tl 3.41
Tl: 0.0000 0.5000 0.2499 [4 per cell]  8 Tl 3.41, 2 Ce 3.41, 2 Pm 3.41
Tl: 0.5000 0.5000 0.0000 [1 per cell]  8 Tl 3.41, 4 Ce 3.41
Tl: 0.5000 0.5000 0.5000 [1 per cell]  4 Pm 3.41, 8 Tl 3.41

***

# 2
The following is a PBE calculation of a relaxed structure of ZnTe, from Alexandria.

Values from the calculation:
Its crystal system is hexagonal. For the magnetization, the calculation gives 0.00 μB/cell. The uncorrected formation energy is -13.5 kJ/mol of atoms.

Cell lengths 7.0264, 7.0264, 3.7031 Å; angles 90.00, 90.00, 120.00 degrees
Last column: nearest neighbours and their distance in Å.
Space group P-62m (No. 189)
Inequivalent atoms, fractional coordinates:
Zn: 0.0000 0.3803 0.0000 [3 per cell]  5 Te 2.67-2.87
Te: 0.0000 0.0000 0.0000 [1 per cell]  3 Zn 2.67
Te: 0.3333 0.6667 0.5000 [2 per cell]  6 Zn 2.87

***

# 3
The following is a PBE calculation of a relaxed structure of HgTeRh2, from Alexandria.

Values from the calculation:
Its crystal system is orthorhombic. Its energy above the lowest structure with this stoichiometry is 0 meV/atom. For the magnetization, the calculation gives 0.00 μB/cell. The uncorrected formation energy is 2.6 kJ/mol of atoms.

Cell lengths 3.5741, 3.8674, 11.2157 Å; angles 90.00, 90.00, 90.00 degrees
Last column: nearest neighbours and their distance in Å.
Space group Imm2 (No. 44)
Inequivalent atoms, fractional coordinates:
Hg: 0.0000 0.0000 0.0000 [2 per cell]  6 Rh 2.82-2.90
Te: 0.0000 0.5000 0.2528 [2 per cell]  6 Rh 2.56-2.70
Rh: 0.0000 0.0000 0.5893 [2 per cell]  2 Te 2.56, 4 Hg 2.82
Rh: 0.0000 0.5000 0.8067 [2 per cell]  4 Te 2.70, 2 Hg 2.90

***

# 4
The following is a PBE calculation of a relaxed structure of GaFe2Ge, from Alexandria.

Values from the calculation:
Its crystal system is tetragonal. For the energy of formation from the pure elements, the calculation gives -0.04 eV per atom. For the magnetization, the calculation gives 0.45 μB/cell.

Cell lengths 2.8846, 2.8846, 5.7807 Å; angles 90.00, 90.00, 90.00 degrees
Last column: nearest neighbours and their distance in Å.
Space group P4/mmm (No. 123)
Inequivalent atoms, fractional coordinates:
Ga: 0.0000 0.0000 0.0000 [1 per cell]  8 Fe 2.53
Fe: 0.5000 0.5000 0.2592 [2 per cell]  4 Ge 2.47, 4 Ga 2.53
Ge: 0.0000 0.0000 0.5000 [1 per cell]  8 Fe 2.47

***

# 5
The following is a PBE calculation of a relaxed structure of Tb2LuSn, from Alexandria.

Values from the calculation:
Its crystal system is tetragonal. Its energy above the lowest structure with this stoichiometry is 0 meV/atom. For the energy of formation from the pure elements, the calculation gives -0.41 eV per atom. For the magnetization, the calculation gives 0.00 μB/cell.

Cell lengths 4.7762, 4.7762, 4.8177 Å; angles 90.00, 90.00, 90.00 degrees
Last column: nearest neighbours and their distance in Å.
Space group P4/mmm (No. 123)
Inequivalent atoms, fractional coordinates:
Tb: 0.0000 0.5000 0.0000 [2 per cell]  4 Tb 3.38, 4 Sn 3.39, 4 Lu 3.39
Lu: 0.0000 0.0000 0.5000 [1 per cell]  4 Sn 3.38, 8 Tb 3.39
Sn: 0.5000 0.5000 0.5000 [1 per cell]  4 Lu 3.38, 8 Tb 3.39

***

# 6
The following is a PBE calculation of a relaxed structure of La2BeGa2, from Alexandria.

Values from the calculation:
Its crystal system is tetragonal. For the energy of formation from the pure elements, the calculation gives -0.27 eV per atom. For the magnetization, the calculation gives 0.00 μB/cell.

Cell lengths 6.8825, 6.8825, 4.9394 Å; angles 90.00, 90.00, 90.00 degrees
Last column: nearest neighbours and their distance in Å.
Space group P4/mbm (No. 127)
Inequivalent atoms, fractional coordinates:
La: 0.1727 0.3273 0.0000 [4 per cell]  6 Ga 3.08-3.28, 1 La 3.36
Be: 0.0000 0.0000 0.5000 [2 per cell]  4 Ga 2.66
Ga: 0.1386 0.6386 0.5000 [4 per cell]  2 Be 2.66, 1 Ga 2.70

***

# 7
The following is a PBE calculation of a relaxed structure of BaCoHg3, from Alexandria.

Values from the calculation:
Its crystal system is cubic. Its energy above the lowest structure with this stoichiometry is 1160 meV/atom. For the energy of formation from the pure elements, the calculation gives 1.01 eV per atom. For the magnetization, the calculation gives 1.85 μB/cell.

Cell lengths 6.5473, 6.5473, 6.5473 Å; angles 90.00, 90.00, 90.00 degrees
Last column: nearest neighbours and their distance in Å.
Space group Pm-3m (No. 221)
Inequivalent atoms, fractional coordinates:
Ba: 0.0000 0.0000 0.0000 [1 per cell]  6 Hg 3.27
Co: 0.5000 0.5000 0.5000 [1 per cell]  12 Hg 4.63
Hg: 0.0000 0.0000 0.5000 [3 per cell]  2 Ba 3.27

***

# 8
The following is a PBE calculation of a relaxed structure of K2ReO6, from Alexandria.

Values from the calculation:
Its crystal system is trigonal. For the magnetization, the calculation gives 3.00 μB/cell. The uncorrected formation energy is -104.9 kJ/mol of atoms.

Cell lengths 6.2374, 6.2374, 4.9723 Å; angles 90.00, 90.00, 120.00 degrees
Last column: nearest neighbours and their distance in Å.
Space group P-31m (No. 162)
Inequivalent atoms, fractional coordinates:
K: 0.3333 0.6667 0.0000 [2 per cell]  6 O 2.78
Re: 0.0000 0.0000 0.5000 [1 per cell]  6 O 1.88
O: 0.0000 0.2472 0.7153 [6 per cell]  1 Re 1.88

***

# 9
The following is a PBE calculation of a relaxed structure of PuGaBr4, from Alexandria.

Values from the calculation:
Its crystal system is monoclinic. For the magnetization, the calculation gives 10.00 μB/cell. The uncorrected formation energy is -114.4 kJ/mol of atoms.

Cell lengths 15.5432, 4.3560, 7.9712 Å; angles 90.00, 119.94, 90.00 degrees
Last column: nearest neighbours and their distance in Å.
Space group C2/m (No. 12)
Inequivalent atoms, fractional coordinates:
Pu: 0.0000 0.0000 0.0000 [2 per cell]  6 Br 2.82-2.93
Ga: 0.0000 0.5000 0.5000 [2 per cell]  6 Br 3.10-3.24
Br: 0.1123 0.0000 0.8103 [4 per cell]  1 Pu 2.82, 2 Ga 3.10
Br: 0.1171 0.5000 0.2583 [4 per cell]  2 Pu 2.93, 1 Ga 3.24

***

# 10
The following is a PBE calculation of a relaxed structure of La2SmDyEr4, from Alexandria.

Values from the calculation:
Its crystal system is monoclinic. For the energy of formation from the pure elements, the calculation gives 0.02 eV per atom. For the magnetization, the calculation gives 0.00 μB/cell.

Cell lengths 12.4302, 7.1827, 12.3536 Å; angles 90.00, 109.57, 90.00 degrees
Last column: nearest neighbours and their distance in Å.
Space group C2/m (No. 12)
Inequivalent atoms, fractional coordinates:
La: 0.0000 0.0000 0.0000 [2 per cell]  4 La 3.59, 2 Sm 3.59, 6 Er 3.60
La: 0.0000 0.0000 0.5000 [2 per cell]  6 Er 3.55, 4 Dy 3.59, 2 Sm 3.59
La: 0.2500 0.2500 0.0000 [4 per cell]  4 La 3.59, 2 Sm 3.59, 6 Er 3.60
Sm: 0.0000 0.5000 0.0000 [2 per cell]  6 La 3.59, 6 Er 3.59
Sm: 0.0000 0.5000 0.5000 [2 per cell]  6 Er 3.54-3.55, 4 Dy 3.59, 2 La 3.59
Dy: 0.2500 0.2500 0.5000 [4 per cell]  6 Er 3.54-3.55, 2 La 3.59, 2 Sm 3.59, 2 Dy 3.59
Er: 0.0011 0.2508 0.2526 [8 per cell]  2 Sm 3.55-3.59, 1 Dy 3.55, 3 La 3.55-3.60, 6 Er 3.58-3.60
Er: 0.2491 0.5000 0.7468 [4 per cell]  2 Dy 3.54, 1 Sm 3.54, 6 Er 3.59, 3 La 3.60
Er: 0.2498 0.0000 0.7473 [4 per cell]  2 Dy 3.54, 3 La 3.55-3.60, 6 Er 3.58-3.60, 1 Sm 3.59

***

# 11
The following is a PBE calculation of a relaxed structure of Ca2TbHg9, from Alexandria.

Values from the calculation:
Its crystal system is tetragonal. For the energy of formation from the pure elements, the calculation gives -0.36 eV per atom. For the magnetization, the calculation gives 0.00 μB/cell.

Cell lengths 4.6531, 4.6531, 14.0479 Å; angles 90.00, 90.00, 90.00 degrees
Last column: nearest neighbours and their distance in Å.
Space group P4/mmm (No. 123)
Inequivalent atoms, fractional coordinates:
Ca: 0.0000 0.0000 0.1659 [2 per cell]  12 Hg 3.29-3.34
Tb: 0.0000 0.0000 0.5000 [1 per cell]  12 Hg 3.27-3.29
Hg: 0.0000 0.5000 0.0000 [2 per cell]  8 Hg 3.29-3.30, 4 Ca 3.29
Hg: 0.0000 0.5000 0.3367 [4 per cell]  8 Hg 3.27-3.33, 2 Tb 3.27, 2 Ca 3.34
Hg: 0.5000 0.5000 0.1667 [2 per cell]  4 Ca 3.29, 8 Hg 3.30-3.33
Hg: 0.5000 0.5000 0.5000 [1 per cell]  8 Hg 3.27, 4 Tb 3.29

***

# 12
The following is a PBE calculation of a relaxed structure of CaIn2Ga, from Alexandria.

Values from the calculation:
Its crystal system is orthorhombic. For the energy of formation from the pure elements, the calculation gives -0.30 eV per atom. For the magnetization, the calculation gives 0.00 μB/cell.

Cell lengths 8.2637, 8.2356, 6.0167 Å; angles 90.00, 90.00, 90.00 degrees
Last column: nearest neighbours and their distance in Å.
Space group Pnma (No. 62)
Inequivalent atoms, fractional coordinates:
Ca: 0.0291 0.2500 0.1122 [4 per cell]  3 Ga 3.15-3.41, 6 In 3.37-3.52
In: 0.1928 0.0486 0.6195 [8 per cell]  3 Ga 2.88-2.94
Ga: 0.0916 0.7500 0.3908 [4 per cell]  6 In 2.88-2.94, 2 Ca 3.15-3.19

***

Repeat the eighth record exactly.
The following is a PBE calculation of a relaxed structure of K2ReO6, from Alexandria.

Values from the calculation:
Its crystal system is trigonal. For the magnetization, the calculation gives 3.00 μB/cell. The uncorrected formation energy is -104.9 kJ/mol of atoms.

Cell lengths 6.2374, 6.2374, 4.9723 Å; angles 90.00, 90.00, 120.00 degrees
Last column: nearest neighbours and their distance in Å.
Space group P-31m (No. 162)
Inequivalent atoms, fractional coordinates:
K: 0.3333 0.6667 0.0000 [2 per cell]  6 O 2.78
Re: 0.0000 0.0000 0.5000 [1 per cell]  6 O 1.88
O: 0.0000 0.2472 0.7153 [6 per cell]  1 Re 1.88